VASP calculation (PBE) on a relaxed CaPm2Pa crystal.

Its energy of formation from the pure elements is 0.23 eV/atom. For the density, the calculation gives 7.09 g cm⁻³. The calculation puts the total energy at -5.016 eV/atom. For the density of states at the Fermi level, the calculation gives 1.34 states/eV per atom.

It has space group R-3m (No. 166, hexagonal axes), with a = 3.5044 Å, b = 3.5044 Å, c = 37.0854 Å, α = 90.00°, β = 90.00° and γ = 120.00°. The asymmetric unit holds Ca at (0.0000, 0.0000, 0.0000), Pm at (0.0000, 0.0000, 0.0930) and Pa at (0.0000, 0.0000, 0.5000).

VASP calculation (PBE) on a relaxed MnSi2Tc crystal.

For the density, the calculation gives 6.64 g cm⁻³. The calculation puts the total energy at -7.714 eV/atom. For the density of states at the Fermi level, the calculation gives 0.67 states/eV per atom. The value obtained for the formation energy (no corrections) is -0.12 eV per atom.

It has space group Cmmm (No. 65), with a = 3.0306 Å, b = 4.6100 Å, c = 7.4882 Å, α = 90.00°, β = 90.00° and γ = 90.00°. The asymmetric unit holds Mn at (0.0000, 0.0000, 0.0000), Si at (0.0000, 0.5000, 0.2403) and Tc at (0.0000, 0.0000, 0.5000).

VASP calculation (PBE) on a relaxed RbPuBrCl2 crystal.

For the density, the calculation gives 4.29 g cm⁻³. The calculation puts the total energy at -5.842 eV/atom. For the density of states at the Fermi level, the calculation gives 3.27 states/eV per atom. The value obtained for the formation energy (no corrections) is -1.71 eV per atom.

It has space group P4mm (No. 99), with a = 5.5603 Å, b = 5.5603 Å, c = 6.0144 Å, α = 90.00°, β = 90.00° and γ = 90.00°. The asymmetric unit holds Rb at (0.0000, 0.0000, 0.0000), Pu at (0.5000, 0.5000, 0.3998), Br at (0.5000, 0.5000, 0.8888) and Cl at (0.0000, 0.5000, 0.3504).